# K2Zn2Pb SCAN PBEsol geometry
# D(E_F): 2.83 states/eV/cell
# relative energy among the computed polymorphs: 0.293 eV per atom
# magnetic moment: 0.0 μB per formula unit
# symmetry: I4/mmm, No. 139
# uncorrected energy: -23.590 eV per atom
data_K2Zn2Pb
_cell_length_a 7.542
_cell_length_b 7.542
_cell_length_c 7.542
_cell_angle_alpha 143.37
_cell_angle_beta 143.37
_cell_angle_gamma 52.77
_space_group_name_H-M_alt 'P 1'
_space_group_IT_number 1
_space_group_name_Hall 'P 1'
loop_
_atom_site_label
_atom_site_fract_x
_atom_site_fract_y
_atom_site_fract_z
K1 0.250 0.750 0.500
K2 0.750 0.250 0.500
Zn1 0.088 0.088 0.000
Zn2 0.912 0.912 0.000
Pb1 0.500 0.500 0.000